No. 1
Material: BaMgRu2
Method: DFT, PBE
State: relaxed

Results
ΔE_f: 555 meV per atom
Total DFT energy (no corrections): -19.848 eV for the cell shown

Cell lengths 3.5265, 3.5265, 7.0673 Å; angles 90.00, 90.00, 90.00 degrees
Positions (direct):
Ru 0.0000 0.0000 0.9211
Ru 0.0000 0.0000 0.5789
Ba 0.5000 0.5000 0.2500
Mg 0.5000 0.5000 0.7500

No. 2
Material: BaMgRu2
Method: DFT, PBE
State: relaxed

Results
ΔE_f: 584 meV per atom
Total DFT energy (no corrections): -19.733 eV for the cell shown

Cell lengths 4.5669, 3.0021, 6.4632 Å; angles 85.98, 90.00, 90.00 degrees
Positions (direct):
Mg 0.5000 0.7500 0.7500
Ba 0.5000 0.2500 0.2500
Ru 0.0000 0.5036 0.5881
Ru 0.0000 0.9964 0.9119

No. 3
Material: BaMg2Ru
Method: DFT, PBE
State: relaxed

Results
ΔE_f: 591 meV per atom
Total DFT energy (no corrections): -12.023 eV for the cell shown

Cell lengths 5.4086, 6.2389, 3.3218 Å; angles 78.12, 82.00, 113.35 degrees
Positions (direct):
Ba 0.5000 0.5000 0.0000
Mg 0.5000 0.0000 0.5000
Mg 0.0000 0.0000 0.0000
Ru 0.0000 0.5000 0.5000

No. 4
Material: BaMgRu4
Method: DFT, PBE
State: relaxed

Results
ΔE_f: 527 meV per atom
Total DFT energy (no corrections): -37.461 eV for the cell shown

Cell lengths 5.4385, 5.4385, 5.4385 Å; angles 60.00, 60.00, 60.00 degrees
Positions (direct):
Mg 0.0000 0.0000 0.0000
Ru 0.8777 0.3741 0.3741
Ru 0.3741 0.8777 0.3741
Ru 0.3741 0.3741 0.3741
Ru 0.3741 0.3741 0.8777
Ba 0.7500 0.7500 0.7500

No. 5
Material: BaMg2Ru
Method: DFT, PBE
State: relaxed

Results
ΔE_f: 524 meV per atom
Total DFT energy (no corrections): -12.293 eV for the cell shown

Cell lengths 3.6685, 4.8437, 5.4592 Å; angles 90.00, 90.00, 90.00 degrees
Positions (direct):
Mg 0.0000 0.0000 0.0000
Mg 0.5000 0.5000 0.0000
Ba 0.0000 0.5000 0.5000
Ru 0.5000 0.0000 0.5000

No. 6
Material: BaMgRu2
Method: DFT, PBE
State: relaxed

Results
ΔE_f: 884 meV per atom
Total DFT energy (no corrections): -18.531 eV for the cell shown

Cell lengths 5.3517, 5.3517, 3.0748 Å; angles 90.00, 90.00, 107.49 degrees
Positions (direct):
Ru 0.5000 0.5000 0.0000
Ru 0.0000 0.0000 0.0000
Mg 0.0000 0.5000 0.5000
Ba 0.5000 0.0000 0.5000